# 1
{"formula": "MgCrPb", "functional": "PBE", "state": "relaxed", "cell": [[4.7381, 0.0000, 0.0000], [2.3690, 4.1033, 0.0000], [2.3690, 1.3678, 3.8686]], "species": ["Cr", "Pb", "Mg"], "frac_coords": [[0.0000, 0.0000, 0.0000], [0.7500, 0.7500, 0.7500], [0.5000, 0.5000, 0.5000]], "e_above_lowest_polymorph_mev_per_atom": 40, "dft_energy_ev_per_atom": -4.55, "dos_at_fermi_per_ev_atom": 0.496, "magnetic_moment_mub_per_fu": 4.001}

=====

# 2
{"formula": "CoCuPt", "functional": "PBE", "state": "relaxed", "cell": [[-0.1140, -3.0214, 1.9778], [2.5728, -0.4858, -0.5965], [4.7894, 0.6615, 7.8777]], "species": ["Pt", "Pt", "Co", "Co", "Cu", "Cu"], "frac_coords": [[0.2311, 0.6463, 0.4099], [0.2228, 0.6378, 0.9184], [0.5492, 0.9624, 0.0922], [0.9045, 0.3218, 0.2362], [0.5566, 0.9708, 0.5848], [0.8973, 0.3130, 0.7436]], "e_above_lowest_polymorph_mev_per_atom": 11, "dft_energy_ev_per_atom": -5.82, "dos_at_fermi_per_ev_atom": 0.951, "magnetic_moment_mub_per_fu": 2.007}

=====

# 3
{"formula": "RbTiSbS4", "functional": "PBE", "state": "relaxed", "cell": [[-0.4303, 2.6805, 6.0349], [-4.6163, -5.1350, 1.9517], [6.8691, -6.1584, 0.0445]], "species": ["Sb", "Sb", "S", "S", "S", "S", "S", "S", "S", "S", "Rb", "Rb", "Ti", "Ti"], "frac_coords": [[0.7570, 0.7500, 0.3939], [0.2430, 0.2500, 0.6061], [0.5644, 0.2500, 0.4502], [0.0282, 0.0086, 0.7127], [0.5767, 0.2500, 0.8388], [0.9718, 0.9914, 0.2873], [0.9718, 0.5086, 0.2873], [0.4356, 0.7500, 0.5498], [0.4233, 0.7500, 0.1612], [0.0282, 0.4914, 0.7127], [0.2855, 0.2500, 0.0848], [0.7145, 0.7500, 0.9152], [0.7916, 0.2500, 0.6820], [0.2084, 0.7500, 0.3180]], "e_form_raw_kj_per_mol_fu": -609, "dft_energy_ev_per_atom": -5.11, "dos_at_fermi_per_ev_atom": 0.000, "magnetic_moment_mub_per_fu": 0.000}

=====

# 4
{"formula": "Li2CeSiGe2", "functional": "PBE", "state": "relaxed", "cell": [[-3.0333, 1.3922, 2.3884], [-2.3102, -7.5013, 1.4385], [4.4431, -0.2575, 5.7928]], "species": ["Ce", "Ce", "Ge", "Ge", "Ge", "Ge", "Li", "Li", "Li", "Li", "Si", "Si"], "frac_coords": [[0.0000, 0.5028, 0.5373], [0.0000, 0.0028, 0.4627], [0.0000, 0.1771, 0.8387], [0.5000, 0.2616, 0.3419], [0.5000, 0.7616, 0.6581], [0.0000, 0.6771, 0.1613], [0.5000, 0.0153, 0.0703], [0.0000, 0.3351, 0.1430], [0.0000, 0.8351, 0.8570], [0.5000, 0.5153, 0.9297], [0.5000, 0.2537, 0.6703], [0.5000, 0.7537, 0.3297]], "e_form_raw_kj_per_mol_fu": -235, "dft_energy_ev_per_atom": -4.48, "dos_at_fermi_per_ev_atom": 0.710, "magnetic_moment_mub_per_fu": 0.257}

=====

# 5
{"formula": "NdPd7Pb2", "functional": "PBE", "state": "relaxed", "cell": [[-2.5508, -0.3825, 3.6476], [-6.2595, -1.8718, -4.5736], [5.1405, -5.2852, 3.0405]], "species": ["Pd", "Pd", "Pd", "Pd", "Pd", "Pd", "Pd", "Pb", "Pb", "Nd"], "frac_coords": [[0.5000, 0.5000, 0.5000], [0.5000, 0.2858, 0.0767], [0.0000, 0.1977, 0.8023], [0.5000, 0.9233, 0.7142], [0.5000, 0.0767, 0.2858], [0.0000, 0.8023, 0.1977], [0.5000, 0.7142, 0.9233], [0.5000, 0.6966, 0.3034], [0.5000, 0.3034, 0.6966], [0.0000, 0.0000, 0.0000]], "dft_energy_ev_per_atom": -4.95, "dos_at_fermi_per_ev_atom": 0.345, "magnetic_moment_mub_per_fu": 0.000}

=====

# 6
{"formula": "OsPb2Br", "functional": "PBE", "state": "relaxed", "cell": [[-2.6058, -3.2254, 2.9838], [2.3650, -2.4097, 3.8336], [-1.0353, 1.2677, 4.8392]], "species": ["Pb", "Pb", "Os", "Br"], "frac_coords": [[0.0000, 0.0000, 0.0000], [0.7500, 0.7500, 0.7500], [0.2500, 0.2500, 0.2500], [0.5000, 0.5000, 0.5000]], "e_form_raw_kj_per_mol_fu": 378, "e_above_lowest_polymorph_mev_per_atom": 580, "dft_energy_ev_per_atom": -4.10, "dos_at_fermi_per_ev_atom": 0.743, "magnetic_moment_mub_per_fu": 0.585}

=====

# 7
{"formula": "Pr6InRu2I3", "functional": "PBE", "state": "relaxed", "cell": [[7.4621, -0.0065, -0.0029], [-3.7348, 6.4602, -0.0029], [-1.2458, -2.1571, 8.2495]], "species": ["Pr", "Pr", "Pr", "Pr", "Pr", "Pr", "In", "I", "I", "I", "Ru", "Ru"], "frac_coords": [[0.3058, 0.3058, 0.8070], [0.9360, 0.5650, 0.8061], [0.5650, 0.9360, 0.8061], [0.0640, 0.4350, 0.1939], [0.4350, 0.0640, 0.1939], [0.6942, 0.6942, 0.1930], [0.0000, 0.0000, 0.0000], [0.1617, 0.8383, 0.5000], [0.5000, 0.5000, 0.5000], [0.8383, 0.1617, 0.5000], [0.3333, 0.6667, 0.0000], [0.6667, 0.3333, 0.0000]], "e_form_raw_kj_per_mol_fu": -759, "dft_energy_ev_per_atom": -5.21, "dos_at_fermi_per_ev_atom": 0.625, "magnetic_moment_mub_per_fu": 0.000}

=====

# 8
{"formula": "MgHg3Pb", "functional": "PBE", "state": "relaxed", "cell": [[-4.6664, -2.3918, -0.9162], [2.2594, -4.7408, 0.8691], [-1.2065, 0.3730, 5.1711]], "species": ["Hg", "Hg", "Hg", "Mg", "Pb"], "frac_coords": [[0.0000, 0.5000, 0.0000], [0.5000, 0.0000, 0.0000], [0.0000, 0.0000, 0.5000], [0.0000, 0.0000, 0.0000], [0.5000, 0.5000, 0.5000]], "e_above_lowest_polymorph_mev_per_atom": 250, "dft_energy_ev_per_atom": -1.04, "dos_at_fermi_per_ev_atom": 0.721, "magnetic_moment_mub_per_fu": 0.000}

=====

# 9
{"formula": "AgGePbO5", "functional": "PBE", "state": "relaxed", "cell": [[-4.4036, -3.5726, -0.8603], [3.5252, -0.2802, -4.5155], [4.1231, -3.5716, 5.7267]], "species": ["O", "O", "O", "O", "O", "O", "O", "O", "O", "O", "Ge", "Ge", "Ag", "Ag", "Pb", "Pb"], "frac_coords": [[0.4045, 0.2674, 0.0730], [0.2674, 0.4045, 0.5730], [0.6560, 0.0545, 0.3455], [0.9455, 0.3440, 0.1545], [0.0966, 0.9034, 0.2500], [0.9034, 0.0966, 0.7500], [0.5955, 0.7326, 0.9270], [0.3440, 0.9455, 0.6545], [0.7326, 0.5955, 0.4270], [0.0545, 0.6560, 0.8455], [0.3154, 0.6846, 0.7500], [0.6846, 0.3154, 0.2500], [0.3254, 0.6746, 0.2500], [0.6746, 0.3254, 0.7500], [0.0000, 0.0000, 0.0000], [0.0000, 0.0000, 0.5000]], "e_form_raw_kj_per_mol_fu": -666, "dft_energy_ev_per_atom": -5.36, "dos_at_fermi_per_ev_atom": 0.155, "magnetic_moment_mub_per_fu": 0.982}

=====

# 10
{"formula": "TbPrErZr", "functional": "PBE", "state": "relaxed", "cell": [[5.5343, 0.0000, 0.0000], [2.7672, 4.7929, 0.0000], [2.7672, 1.5976, 4.5188]], "species": ["Er", "Tb", "Pr", "Zr"], "frac_coords": [[0.0000, 0.0000, 0.0000], [0.5000, 0.5000, 0.5000], [0.7500, 0.7500, 0.7500], [0.2500, 0.2500, 0.2500]], "dft_energy_ev_per_atom": -5.40, "dos_at_fermi_per_ev_atom": 1.900, "magnetic_moment_mub_per_fu": 1.374}

=====

# 11
{"formula": "TlSeCl2", "functional": "PBE", "state": "relaxed", "cell": [[0.8062, 3.0967, 8.3064], [5.0177, 3.2868, 6.5769], [2.0181, 6.5860, 5.6381]], "species": ["Cl", "Cl", "Tl", "Se"], "frac_coords": [[0.0950, 0.0950, 0.0950], [0.9050, 0.9050, 0.9050], [0.5000, 0.5000, 0.5000], [0.0000, 0.0000, 0.0000]], "e_form_raw_kj_per_mol_fu": -128, "e_above_lowest_polymorph_mev_per_atom": 55, "dft_energy_ev_per_atom": -2.72, "dos_at_fermi_per_ev_atom": 0.684, "magnetic_moment_mub_per_fu": 1.000}

=====

# 12
{"formula": "ZnNiI2", "functional": "PBE", "state": "relaxed", "cell": [[6.1089, 0.0000, 0.0000], [0.0000, 6.1089, 0.0000], [3.0545, 3.0545, 6.0264]], "species": ["Zn", "Zn", "I", "I", "I", "I", "Ni", "Ni"], "frac_coords": [[0.7500, 0.2500, 0.5000], [0.0000, 0.0000, 0.0000], [0.3750, 0.4077, 0.7500], [0.1577, 0.6250, 0.2500], [0.5923, 0.1250, 0.2500], [0.8750, 0.8423, 0.7500], [0.5000, 0.5000, 0.0000], [0.2500, 0.7500, 0.5000]], "e_form_raw_kj_per_mol_fu": 19, "e_above_lowest_polymorph_mev_per_atom": 0, "dft_energy_ev_per_atom": -2.49, "dos_at_fermi_per_ev_atom": 0.027, "magnetic_moment_mub_per_fu": 0.000}

=====

# 13
{"formula": "La3Nd3In2Ga", "functional": "PBE", "state": "relaxed", "cell": [[3.8680, 0.0000, 0.0000], [0.0000, 9.1864, 0.0000], [0.0000, -4.5932, 7.9557]], "species": ["Nd", "Nd", "Nd", "In", "In", "Ga", "La", "La", "La"], "frac_coords": [[0.0000, 0.3912, 0.0000], [0.0000, 0.6088, 0.6088], [0.0000, 0.0000, 0.3912], [0.5000, 0.6667, 0.3333], [0.5000, 0.3333, 0.6667], [0.0000, 0.0000, 0.0000], [0.5000, 0.7312, 0.0000], [0.5000, 0.0000, 0.7312], [0.5000, 0.2688, 0.2688]], "dft_energy_ev_per_atom": -4.53, "dos_at_fermi_per_ev_atom": 1.090, "magnetic_moment_mub_per_fu": 0.001}

=====

# 14
{"formula": "NdDy2HoEr5", "functional": "PBE", "state": "relaxed", "cell": [[8.9040, 0.0000, 0.0000], [0.0000, 8.9040, 0.0000], [-4.4520, -4.4520, 7.2728]], "species": ["Dy", "Dy", "Dy", "Dy", "Er", "Er", "Er", "Er", "Er", "Er", "Er", "Er", "Er", "Er", "Nd", "Nd", "Ho", "Ho"], "frac_coords": [[0.8875, 0.6125, 0.0000], [0.1125, 0.3875, 0.0000], [0.3875, 0.8875, 0.0000], [0.6125, 0.1125, 0.0000], [0.0734, 0.5734, 0.7362], [0.5000, 0.5000, 0.0000], [0.5734, 0.6628, 0.7362], [0.6628, 0.1628, 0.7362], [0.1628, 0.0734, 0.7362], [0.3372, 0.8372, 0.2638], [0.0000, 0.0000, 0.0000], [0.8372, 0.9266, 0.2638], [0.4266, 0.3372, 0.2638], [0.9266, 0.4266, 0.2638], [0.7500, 0.7500, 0.5000], [0.2500, 0.2500, 0.5000], [0.2500, 0.7500, 0.5000], [0.7500, 0.2500, 0.5000]], "dft_energy_ev_per_atom": -4.31, "dos_at_fermi_per_ev_atom": 1.249, "magnetic_moment_mub_per_fu": 0.000}

=====

# 15
{"formula": "Na2AgHg2", "functional": "PBE", "state": "relaxed", "cell": [[-1.9586, -3.3430, 2.3183], [-2.5105, -4.1952, -3.7737], [7.5301, -7.3635, 0.1404]], "species": ["Hg", "Hg", "Hg", "Hg", "Ag", "Ag", "Na", "Na", "Na", "Na"], "frac_coords": [[0.1417, 0.2786, 0.4381], [0.9596, 0.1908, 0.8900], [0.0404, 0.8092, 0.1100], [0.8583, 0.7214, 0.5619], [0.2022, 0.9243, 0.6713], [0.7978, 0.0757, 0.3287], [0.3113, 0.2604, 0.1170], [0.6887, 0.7396, 0.8830], [0.5042, 0.3277, 0.6638], [0.4958, 0.6723, 0.3362]], "e_above_lowest_polymorph_mev_per_atom": 0, "dft_energy_ev_per_atom": -1.36, "dos_at_fermi_per_ev_atom": 0.332, "magnetic_moment_mub_per_fu": 0.000}

=====

# 16
{"formula": "TlTe2OsI", "functional": "PBE", "state": "relaxed", "cell": [[-3.1623, -4.7171, -0.9704], [1.3313, -1.9720, 5.2471], [-4.7865, 2.7466, 2.2467]], "species": ["I", "Te", "Te", "Os", "Tl"], "frac_coords": [[0.0000, 0.0000, 0.5000], [0.5000, 0.0000, 0.0000], [0.0000, 0.5000, 0.0000], [0.5000, 0.5000, 0.5000], [0.0000, 0.0000, 0.0000]], "e_form_raw_kj_per_mol_fu": 832, "e_above_lowest_polymorph_mev_per_atom": 1345, "dft_energy_ev_per_atom": -2.56, "dos_at_fermi_per_ev_atom": 1.483, "magnetic_moment_mub_per_fu": 5.197}

=====

# 17
{"formula": "BaReSb2", "functional": "PBE", "state": "relaxed", "cell": [[0.0000, 3.6634, 3.6634], [3.6634, 0.0000, 3.6634], [3.6634, 3.6634, 0.0000]], "species": ["Sb", "Sb", "Ba", "Re"], "frac_coords": [[0.7500, 0.7500, 0.7500], [0.2500, 0.2500, 0.2500], [0.0000, 0.0000, 0.0000], [0.5000, 0.5000, 0.5000]], "e_form_raw_kj_per_mol_fu": 170, "e_above_lowest_polymorph_mev_per_atom": 501, "dft_energy_ev_per_atom": -5.21, "dos_at_fermi_per_ev_atom": 0.680, "magnetic_moment_mub_per_fu": 0.000}

=====

# 18
{"formula": "Sb3AsP", "functional": "PBE", "state": "relaxed", "cell": [[-4.2333, 2.8765, -0.7778], [-2.1650, -2.0406, 4.2366], [2.0474, 3.7897, 2.8717]], "species": ["Sb", "Sb", "Sb", "P", "As"], "frac_coords": [[0.0000, 0.0000, 0.5000], [0.5000, 0.0000, 0.0000], [0.0000, 0.5000, 0.0000], [0.0000, 0.0000, 0.0000], [0.5000, 0.5000, 0.5000]], "e_form_raw_kj_per_mol_fu": 356, "e_above_lowest_polymorph_mev_per_atom": 0, "dft_energy_ev_per_atom": -3.75, "dos_at_fermi_per_ev_atom": 0.902, "magnetic_moment_mub_per_fu": 0.000}

=====

# 19
{"formula": "TbNd2Sm2Mg", "functional": "PBE", "state": "relaxed", "cell": [[6.8250, 0.0000, 0.0000], [0.0000, 6.4534, 0.0000], [-3.4125, -3.2267, 9.0460]], "species": ["Nd", "Nd", "Nd", "Nd", "Sm", "Sm", "Sm", "Sm", "Mg", "Mg", "Tb", "Tb"], "frac_coords": [[0.4985, 0.6528, 0.3056], [0.5015, 0.3472, 0.6944], [0.8071, 0.1528, 0.3056], [0.1929, 0.8472, 0.6944], [0.0047, 0.3473, 0.6947], [0.9953, 0.6527, 0.3053], [0.6900, 0.8473, 0.6947], [0.3100, 0.1527, 0.3053], [0.5000, 0.2500, 0.0000], [0.5000, 0.7500, 0.0000], [0.0000, 0.7500, 0.0000], [0.0000, 0.2500, 0.0000]], "dft_energy_ev_per_atom": -4.01, "dos_at_fermi_per_ev_atom": 1.491, "magnetic_moment_mub_per_fu": 0.000}

=====

# 20
{"formula": "HfZnTc3", "functional": "PBE", "state": "relaxed", "cell": [[4.7622, 0.0000, 0.0000], [0.0000, 4.7622, 0.0000], [0.0000, 0.0000, 4.7622]], "species": ["Tc", "Tc", "Tc", "Hf", "Zn"], "frac_coords": [[0.5000, 0.0000, 0.0000], [0.0000, 0.5000, 0.0000], [0.0000, 0.0000, 0.5000], [0.0000, 0.0000, 0.0000], [0.5000, 0.5000, 0.5000]], "e_above_lowest_polymorph_mev_per_atom": 650, "dft_energy_ev_per_atom": -6.63, "dos_at_fermi_per_ev_atom": 1.010, "magnetic_moment_mub_per_fu": 3.057}

=====

# 21
{"formula": "Cr2Ir", "functional": "PBE", "state": "relaxed", "cell": [[1.4073, -6.5087, 0.0000], [1.4073, 6.5087, 0.0000], [0.0000, 0.0000, 4.2114]], "species": ["Ir", "Ir", "Cr", "Cr", "Cr", "Cr"], "frac_coords": [[0.2759, 0.7241, 0.7500], [0.7241, 0.2759, 0.2500], [0.5862, 0.4138, 0.7500], [0.9384, 0.0616, 0.7500], [0.4138, 0.5862, 0.2500], [0.0616, 0.9384, 0.2500]], "dft_energy_ev_per_atom": -9.31, "dos_at_fermi_per_ev_atom": 1.143, "magnetic_moment_mub_per_fu": 0.002}

=====

# 22
{"formula": "CdNiAg4", "functional": "PBE", "state": "relaxed", "cell": [[0.0000, 3.8358, 3.8358], [3.8358, 0.0000, 3.8358], [3.8358, 3.8358, 0.0000]], "species": ["Ag", "Ag", "Ag", "Ag", "Ni", "Cd"], "frac_coords": [[0.3747, 0.8758, 0.3747], [0.3747, 0.3747, 0.8758], [0.8758, 0.3747, 0.3747], [0.3747, 0.3747, 0.3747], [0.0000, 0.0000, 0.0000], [0.7500, 0.7500, 0.7500]], "dft_energy_ev_per_atom": -2.69, "dos_at_fermi_per_ev_atom": 0.514, "magnetic_moment_mub_per_fu": 0.001}

=====

# 23
{"formula": "HfZrTiRe", "functional": "PBE", "state": "relaxed", "cell": [[-3.1053, -0.0211, 3.5758], [1.5353, -0.3366, 4.4676], [-0.3025, 3.7354, 2.8957]], "species": ["Hf", "Re", "Zr", "Ti"], "frac_coords": [[0.5000, 0.5000, 0.5000], [0.7500, 0.7500, 0.7500], [0.0000, 0.0000, 0.0000], [0.2500, 0.2500, 0.2500]], "dft_energy_ev_per_atom": -9.82, "dos_at_fermi_per_ev_atom": 1.387, "magnetic_moment_mub_per_fu": 2.055}

=====

# 24
{"formula": "LaY3Ru", "functional": "PBE", "state": "relaxed", "cell": [[5.1713, 0.0000, 0.8134], [0.0000, 7.0588, 0.0000], [-1.2163, 0.0000, 7.7291]], "species": ["Y", "Y", "Y", "Y", "Y", "Y", "Ru", "Ru", "La", "La"], "frac_coords": [[0.7501, 0.2500, 0.5712], [0.2501, 0.0211, 0.8444], [0.2501, 0.4789, 0.8444], [0.7499, 0.9789, 0.1556], [0.2499, 0.7500, 0.4288], [0.7499, 0.5211, 0.1556], [0.2498, 0.7500, 0.1015], [0.7502, 0.2500, 0.8985], [0.2500, 0.2500, 0.2779], [0.7500, 0.7500, 0.7221]], "e_above_lowest_polymorph_mev_per_atom": 57, "dft_energy_ev_per_atom": -6.85, "dos_at_fermi_per_ev_atom": 1.485, "magnetic_moment_mub_per_fu": 0.000}

=====

# 25
{"formula": "CsYMo", "functional": "PBE", "state": "relaxed", "cell": [[3.4918, 0.0000, 0.0000], [0.0000, 3.4920, 0.0000], [0.0000, 0.0000, 16.9369]], "species": ["Y", "Y", "Cs", "Cs", "Mo", "Mo"], "frac_coords": [[0.5000, 0.5000, 0.0181], [0.0000, 0.0000, 0.5181], [0.5000, 0.5000, 0.7531], [0.0000, 0.0000, 0.2531], [0.0000, 0.0000, 0.9190], [0.5000, 0.5000, 0.4190]], "e_above_lowest_polymorph_mev_per_atom": 676, "dft_energy_ev_per_atom": -4.96, "dos_at_fermi_per_ev_atom": 0.901, "magnetic_moment_mub_per_fu": 1.562}